Density functional theory data (PBE) for a relaxed FeOs2Se crystal.

Formation energy without anion corrections ... 544 meV per atom

Lattice parameters (Å, degrees): 2.8606 2.8606 24.5067 90.00 90.00 120.00
With the nearest neighbours (Å) after each atom.
Space group R-3m (No. 166, hexagonal axes)
Inequivalent atoms, fractional coordinates:
Fe  0.0000  0.0000  0.0000 [3 per cell]  6 Os 2.60, 6 Fe 2.86
Os  0.0000  0.0000  0.2515 [6 per cell]  3 Fe 2.60, 3 Se 2.66, 6 Os 2.86
Se  0.0000  0.0000  0.5000 [3 per cell]  6 Os 2.66, 6 Se 2.86

Density functional theory data (PBE) for a relaxed NaLiRh2N crystal.

Formation energy without anion corrections ... -113 meV per atom

Lattice parameters (Å, degrees): 4.0027 4.0027 4.3542 90.00 90.00 90.00
With the nearest neighbours (Å) after each atom.
Space group P4/mmm (No. 123)
Inequivalent atoms, fractional coordinates:
Na  0.0000  0.0000  0.0000 [1 per cell]  4 Li 2.83, 8 Rh 2.96
Li  0.5000  0.5000  0.0000 [1 per cell]  2 N 2.18
Rh  0.0000  0.5000  0.5000 [2 per cell]  2 N 2.00
N  0.5000  0.5000  0.5000 [1 per cell]  4 Rh 2.00, 2 Li 2.18

Density functional theory data (PBE) for a relaxed Mn2TlW crystal.

Formation energy from the elements ... 0.60 eV/atom

Lattice parameters (Å, degrees): 5.8137 7.2249 2.9569 90.00 90.00 90.00
With the nearest neighbours (Å) after each atom.
Space group Cmmm (No. 65)
Inequivalent atoms, fractional coordinates:
Mn  0.2500  0.2500  0.0000 [4 per cell]  4 Tl 2.75, 4 W 2.75, 4 Mn 2.91-2.96
Tl  0.0000  0.0000  0.5000 [2 per cell]  8 Mn 2.75, 2 W 2.91, 2 Tl 2.96
W  0.0000  0.5000  0.5000 [2 per cell]  8 Mn 2.75, 2 Tl 2.91, 2 W 2.96

Density functional theory data (PBE) for a relaxed Ca2HoSe3 crystal.

Formation energy without anion corrections ... -1908 meV per atom

Lattice parameters (Å, degrees): 4.1349 5.8630 12.4670 90.00 90.00 90.00
With the nearest neighbours (Å) after each atom.
Space group Immm (No. 71)
Inequivalent atoms, fractional coordinates:
Ca  0.0000  0.0000  0.1683 [4 per cell]  6 Se 2.93-2.96
Ho  0.0000  0.0000  0.5000 [2 per cell]  6 Se 2.89-2.93
Se  0.0000  0.5000  0.1621 [4 per cell]  2 Ho 2.89, 4 Ca 2.93-2.96
Se  0.0000  0.5000  0.5000 [2 per cell]  2 Ho 2.93, 4 Ca 2.95

Density functional theory data (PBE) for a relaxed NaMn2Ir crystal.

Formation energy from the elements ... 0.74 eV/atom

Lattice parameters (Å, degrees): 7.2956 7.2956 5.7170 90.00 90.00 90.00
With the nearest neighbours (Å) after each atom.
Space group I-42d (No. 122)
Inequivalent atoms, fractional coordinates:
Na  0.0000  0.0000  0.0000 [4 per cell]  2 Ir 2.86, 8 Mn 2.92-3.18
Mn  0.2039  0.2500  0.6250 [8 per cell]  2 Ir 2.46
Ir  0.0000  0.0000  0.5000 [4 per cell]  4 Mn 2.46

Density functional theory data (PBE) for a relaxed CrNiH4Rh2 crystal.

VASP energy ... -5.42 eV per atom

Lattice parameters (Å, degrees): 4.7429 2.8916 4.8921 90.00 110.41 90.00
With the nearest neighbours (Å) after each atom.
Space group P2/m (No. 10)
Inequivalent atoms, fractional coordinates:
Cr  0.0000  0.0000  0.0000 [1 per cell]  6 H 2.06-2.07
Ni  0.0000  0.5000  0.5000 [1 per cell]  6 H 1.79-1.98
H  0.2423  0.5000  0.2899 [2 per cell]  1 Ni 1.79, 2 Rh 1.94
H  0.2568  0.0000  0.7351 [2 per cell]  3 Rh 1.89-2.01, 2 Ni 1.98, 1 Cr 2.06
Rh  0.5000  0.0000  0.5000 [1 per cell]  6 H 1.89-1.94
Rh  0.5000  0.5000  0.0000 [1 per cell]  6 H 2.01-2.17